Entry 1:
{"formula": "HfSc6Al", "functional": "GGA-PBE", "state": "relaxed", "total_energy_ev_per_cell": -51.6, "delta_e_f_ev_per_atom": 0.0169, "lattice_angstrom": [[-0.426, 6.659, 3.829], [-5.642, 6.080, -1.798], [-4.346, 2.665, 2.612]], "species": ["Sc", "Sc", "Sc", "Sc", "Sc", "Sc", "Al", "Hf"], "frac_coords": [[0.045, 0.471, 0.242], [0.955, 0.529, 0.758], [0.471, 0.758, 0.726], [0.758, 0.956, 0.815], [0.242, 0.044, 0.185], [0.529, 0.242, 0.274], [0.000, 0.000, 0.000], [0.500, 0.500, 0.500]]}


Entry 2:
{"formula": "RbSc2SbW", "functional": "GGA-PBE", "state": "relaxed", "total_energy_ev_per_cell": -25.4, "formation_energy_uncorrected_mev_per_atom": 1053, "lattice_angstrom": [[5.564, 0.000, 0.000], [0.000, 5.142, 0.000], [0.000, 0.000, 5.564]], "species": ["Sc", "Sc", "Rb", "W", "Sb"], "frac_coords": [[0.000, 0.000, 0.500], [0.500, 0.000, 0.000], [0.500, 0.500, 0.500], [0.000, 0.500, 0.000], [0.000, 0.000, 0.000]]}


Entry 3:
{"formula": "TcHO3", "functional": "GGA-PBE", "state": "relaxed", "total_energy_ev_per_cell": -66.1, "lattice_angstrom": [[4.668, 0.000, 0.000], [2.334, 4.043, 0.000], [2.334, 1.348, 5.274]], "species": ["Tc", "Tc", "O", "O", "O", "O", "O", "O", "H", "H"], "frac_coords": [[0.833, 0.833, 0.500], [0.167, 0.167, 0.500], [0.428, 0.123, 0.717], [0.572, 0.877, 0.283], [0.267, 0.572, 0.283], [0.877, 0.267, 0.283], [0.733, 0.428, 0.717], [0.123, 0.733, 0.717], [0.576, 0.576, 0.271], [0.424, 0.424, 0.729]]}


Entry 4:
{"formula": "NdZn2GeRh", "functional": "GGA-PBE", "state": "relaxed", "total_energy_ev_per_cell": -21.9, "delta_e_f_ev_per_atom": -0.5219, "lattice_angstrom": [[-0.151, -1.113, 3.871], [-0.929, -3.932, -1.167], [5.907, 1.297, -1.496]], "species": ["Nd", "Zn", "Zn", "Rh", "Ge"], "frac_coords": [[0.438, 0.438, 0.876], [0.693, 0.193, 0.385], [0.058, 0.058, 0.116], [0.196, 0.696, 0.391], [0.828, 0.828, 0.656]]}


Entry 5:
{"formula": "Y2CrFe", "functional": "GGA-PBE", "state": "relaxed", "total_energy_ev_per_cell": -29.9, "delta_e_f_ev_per_atom": 0.2710, "lattice_angstrom": [[-1.306, -2.838, 0.316], [-0.266, -0.226, -3.121], [7.624, -3.553, -0.393]], "species": ["Y", "Y", "Cr", "Fe"], "frac_coords": [[0.500, 0.500, 0.314], [0.000, 0.000, 0.935], [0.000, 0.000, 0.562], [0.500, 0.500, 0.690]]}


Entry 6:
{"formula": "CsTlTe2I", "functional": "GGA-PBE", "state": "relaxed", "total_energy_ev_per_cell": -9.5, "formation_energy_uncorrected_mev_per_atom": 301, "lattice_angstrom": [[6.507, 0.000, 0.000], [0.000, 6.507, 0.000], [0.000, 0.000, 7.100]], "species": ["Tl", "I", "Te", "Te", "Cs"], "frac_coords": [[0.500, 0.500, 0.500], [0.000, 0.000, 0.500], [0.500, 0.000, 0.000], [0.000, 0.500, 0.000], [0.000, 0.000, 0.000]]}


Which formula does entry 3 have? TcHO3


What is the formula in the first record? HfSc6Al


What is the formula in the second record? RbSc2SbW


Repeat the sixth record exactly.
{"formula": "CsTlTe2I", "functional": "GGA-PBE", "state": "relaxed", "total_energy_ev_per_cell": -9.5, "formation_energy_uncorrected_mev_per_atom": 301, "lattice_angstrom": [[6.507, 0.000, 0.000], [0.000, 6.507, 0.000], [0.000, 0.000, 7.100]], "species": ["Tl", "I", "Te", "Te", "Cs"], "frac_coords": [[0.500, 0.500, 0.500], [0.000, 0.000, 0.500], [0.500, 0.000, 0.000], [0.000, 0.500, 0.000], [0.000, 0.000, 0.000]]}